1.
Density functional theory data (PBE-GGA) for a relaxed KSi3W crystal.

Spin magnetization ... 0.00 μB/f.u.
Space-group type ... Pm-3m, No. 221
Offset from the most stable computed form ... 2711.5 meV/atom

a = 4.767 Å, b = 4.767 Å, c = 4.767 Å
α = 90.00°, β = 90.00°, γ = 90.00°
Atoms (fractional coordinates):
Si 0.500 0.000 0.000
K 0.000 0.000 0.000
W 0.500 0.500 0.500
Si 0.000 0.000 0.500
Si 0.000 0.500 0.000

---

2.
Density functional theory data (PBE-GGA) for a relaxed KSiW2 crystal.

Raw total energy ... -29.12 eV/cell
Spin magnetization ... 0.00 μB/f.u.
Space-group type ... R-3m, No. 166

a = 10.571 Å, b = 10.571 Å, c = 10.571 Å
α = 15.49°, β = 15.49°, γ = 15.49°
Atoms (fractional coordinates):
W 0.016 0.016 0.016
K 0.250 0.250 0.250
W 0.484 0.484 0.484
Si 0.750 0.750 0.750

---

3.
Density functional theory data (PBE-GGA) for a relaxed KSiW2 crystal.

Raw total energy ... -25.81 eV/cell
Spin magnetization ... 0.00 μB/f.u.
Space-group type ... I4/mmm, No. 139

a = 5.340 Å, b = 5.340 Å, c = 5.340 Å
α = 135.91°, β = 135.91°, γ = 64.12°
Atoms (fractional coordinates):
W 0.500 0.500 0.000
Si 0.750 0.250 0.500
K 0.250 0.750 0.500
W 0.000 0.000 0.000

---

4.
Density functional theory data (PBE-GGA) for a relaxed KSiW crystal.

Spin magnetization ... 0.00 μB/f.u.
Space-group type ... Fmm2, No. 42
Offset from the most stable computed form ... 65.6 meV/atom

a = 8.089 Å, b = 7.938 Å, c = 2.833 Å
α = 82.83°, β = 76.83°, γ = 20.34°
Atoms (fractional coordinates):
Si 0.315 0.315 0.685
K 0.994 0.994 0.006
W 0.691 0.691 0.309

---

5.
Density functional theory data (PBE-GGA) for a relaxed KSiW crystal.

Spin magnetization ... 0.00 μB/f.u.
Space-group type ... P-6m2, No. 187
Offset from the most stable computed form ... 668.4 meV/atom

a = 4.937 Å, b = 4.937 Å, c = 2.749 Å
α = 90.00°, β = 90.00°, γ = 120.00°
Atoms (fractional coordinates):
Si 0.667 0.333 0.500
K 0.000 0.000 0.000
W 0.333 0.667 0.500

---

6.
Density functional theory data (PBE-GGA) for a relaxed KSi2W crystal.

Spin magnetization ... 0.00 μB/f.u.
Space-group type ... P4mm, No. 99
Offset from the most stable computed form ... 550.8 meV/atom

a = 2.757 Å, b = 2.757 Å, c = 9.635 Å
α = 90.00°, β = 90.00°, γ = 90.00°
Atoms (fractional coordinates):
W 0.000 0.000 0.443
Si 0.500 0.500 0.246
Si 0.000 0.000 0.049
K 0.500 0.500 0.762

---

7.
Density functional theory data (PBE-GGA) for a relaxed KSi2W crystal.

Spin magnetization ... 0.00 μB/f.u.
Space-group type ... Cmm2, No. 35
Offset from the most stable computed form ... 512.5 meV/atom

a = 2.823 Å, b = 2.823 Å, c = 9.619 Å
α = 90.00°, β = 90.00°, γ = 106.10°
Atoms (fractional coordinates):
W 0.000 0.000 0.445
Si 0.500 0.500 0.245
Si 0.000 0.000 0.052
K 0.500 0.500 0.759

---

8.
Density functional theory data (PBE-GGA) for a relaxed KSi3W crystal.

Spin magnetization ... 0.00 μB/f.u.
Space-group type ... Pm-3m, No. 221
Offset from the most stable computed form ... 0.0 meV/atom

a = 4.838 Å, b = 4.838 Å, c = 4.838 Å
α = 90.00°, β = 90.00°, γ = 90.00°
Atoms (fractional coordinates):
Si 0.500 0.000 0.000
Si 0.000 0.500 0.000
W 0.000 0.000 0.000
K 0.500 0.500 0.500
Si 0.000 0.000 0.500

---

9.
Density functional theory data (PBE-GGA) for a relaxed KSi2W crystal.

Spin magnetization ... 0.00 μB/f.u.
Space-group type ... Pmm2, No. 25
Offset from the most stable computed form ... 244.8 meV/atom

a = 2.751 Å, b = 4.279 Å, c = 8.031 Å
α = 90.00°, β = 90.00°, γ = 90.00°
Atoms (fractional coordinates):
Si 0.000 0.000 0.048
Si 0.500 0.500 0.351
W 0.000 0.000 0.347
K 0.500 0.500 0.754

---

10.
Density functional theory data (PBE-GGA) for a relaxed KSi2W crystal.

Spin magnetization ... 0.00 μB/f.u.
Space-group type ... Cm, No. 8
Offset from the most stable computed form ... 33.1 meV/atom

a = 4.487 Å, b = 4.487 Å, c = 7.713 Å
α = 65.36°, β = 65.36°, γ = 41.66°
Atoms (fractional coordinates):
W 0.568 0.568 0.255
Si 0.911 0.911 0.127
K 0.794 0.794 0.739
Si 0.227 0.227 0.379

---

11.
Density functional theory data (PBE-GGA) for a relaxed KSi2W crystal.

Spin magnetization ... 0.00 μB/f.u.
Space-group type ... C2/m, No. 12
Offset from the most stable computed form ... 711.4 meV/atom

a = 7.207 Å, b = 5.222 Å, c = 2.722 Å
α = 80.46°, β = 82.10°, γ = 130.86°
Atoms (fractional coordinates):
Si 0.000 0.000 0.000
W 0.000 0.500 0.500
K 0.500 0.500 0.000
Si 0.500 0.000 0.500

---

12.
Density functional theory data (PBE-GGA) for a relaxed KSiW2 crystal.

Raw total energy ... -25.77 eV/cell
Spin magnetization ... 0.00 μB/f.u.
Space-group type ... P4/mmm, No. 123

a = 4.651 Å, b = 3.980 Å, c = 3.980 Å
α = 90.00°, β = 90.00°, γ = 90.00°
Atoms (fractional coordinates):
W 0.000 0.500 0.500
Si 0.500 0.000 0.500
K 0.500 0.500 0.000
W 0.000 0.000 0.000